# TbSmYTh | the Alexandria database | PBE | relaxed
data_TbSmYTh
_chemical_formula_sum 'Tb3 Sm3 Y3 Th3'
_space_group_name_H-M_alt 'R 3 m'
_space_group_IT_number 160
_space_group_name_Hall 'R 3 -2"'
_cell_length_a 3.6111
_cell_length_b 3.6111
_cell_length_c 34.6803
_cell_angle_alpha 90.00
_cell_angle_beta 90.00
_cell_angle_gamma 120.00
loop_
_atom_site_label
_atom_site_type_symbol
_atom_site_fract_x
_atom_site_fract_y
_atom_site_fract_z
Tb1 Tb 0.0000 0.0000 0.0000
Sm1 Sm 0.0000 0.0000 0.1694
Y1 Y 0.0000 0.0000 0.4177
Th1 Th 0.0000 0.0000 0.5850
# N(E_F) (states/eV per cell): 18.55
# Offset from the most stable computed form (eV/atom): 0.000
# Energy relative to the elements (meV/atom): 11